The following is a DFT calculation (PBE with a Hubbard U) of crystalline Fe2CuSbO6 at its relaxed geometry. Values from VASP.

## Properties
Total DFT energy (no corrections) in eV for the cell shown: -59.9

The structure in Quantum ESPRESSO input format:
```
&SYSTEM
  ibrav = 0, nat = 10, ntyp = 4
/
ATOMIC_SPECIES
Fe 55.84 Fe.upf
Cu 63.55 Cu.upf
Sb 121.76 Sb.upf
O 16.00 O.upf
ATOMIC_POSITIONS crystal
Fe 0.543 0.495 0.414
Fe 0.013 0.008 0.979
Cu 0.797 0.805 0.569
Sb 0.320 0.330 0.027
O 0.624 0.185 0.244
O 0.212 0.926 0.247
O 0.948 0.595 0.218
O 0.385 0.758 0.785
O 0.714 0.155 0.771
O 0.106 0.406 0.762
CELL_PARAMETERS angstrom
-0.691 -0.648 -5.008
-0.505 -4.875 -2.052
-5.179 -2.208 -1.704
```